## Sm2Co2Cu (PBE)

Data for crystalline Sm2Co2Cu at its relaxed geometry.

Properties
N(E_F), states/eV/cell: 10.33
Energy of formation, eV/f.u.: -0.2
Final energy, eV per atom: -5.60

a b c (Å): 6.871 6.871 4.000
angles (deg): 90.00 90.00 90.00
Space group P4/mbm (No. 127)
Unique sites:
Sm: 0.182 0.318 0.000 [4 per cell]
Co: 0.118 0.618 0.500 [4 per cell]
Cu: 0.000 0.000 0.500 [2 per cell]

=====

## LiLa2HRu (PBE)

Data for crystalline LiLa2HRu at its relaxed geometry.

Properties
N(E_F), states/eV/cell: 3.12
Final energy, eV per atom: -5.10
Polymorph energy (0 for the lowest one), meV per atom: 0

a b c (Å): 5.037 5.037 3.825
angles (deg): 90.00 90.00 90.00
Space group P4/mmm (No. 123)
Unique sites:
Li: 0.000 0.000 0.000 [1 per cell]
La: 0.000 0.500 0.500 [2 per cell]
H: 0.000 0.000 0.500 [1 per cell]
Ru: 0.500 0.500 0.000 [1 per cell]

=====

## NbCoAs2Se (PBE)

Data for crystalline NbCoAs2Se at its relaxed geometry.

Properties
N(E_F), states/eV/cell: 7.20
E_form (uncorrected), meV per atom: 757.8
Final energy, eV per atom: -5.23
Polymorph energy (0 for the lowest one), meV per atom: 220

a b c (Å): 5.010 5.010 4.959
angles (deg): 90.00 90.00 90.00
Space group P4/mmm (No. 123)
Unique sites:
Nb: 0.000 0.000 0.000 [1 per cell]
Co: 0.500 0.500 0.500 [1 per cell]
As: 0.000 0.500 0.000 [2 per cell]
Se: 0.000 0.000 0.500 [1 per cell]

=====

## Pm3PuZn4 (PBE)

Data for crystalline Pm3PuZn4 at its relaxed geometry.

Properties
N(E_F), states/eV/cell: 12.07
Energy of formation, eV/f.u.: -1.9
Final energy, eV per atom: -4.45

a b c (Å): 3.639 3.639 14.546
angles (deg): 90.00 90.00 90.00
Space group P4/mmm (No. 123)
Unique sites:
Pm: 0.000 0.000 0.000 [1 per cell]
Pm: 0.000 0.000 0.253 [2 per cell]
Pu: 0.000 0.000 0.500 [1 per cell]
Zn: 0.500 0.500 0.126 [2 per cell]
Zn: 0.500 0.500 0.378 [2 per cell]

=====

## ZrAgW3 (PBE)

Data for crystalline ZrAgW3 at its relaxed geometry.

Properties
N(E_F), states/eV/cell: 5.35
Energy of formation, eV/f.u.: 12.8
Final energy, eV per atom: -7.48
Polymorph energy (0 for the lowest one), meV per atom: 124

a b c (Å): 4.821 4.821 4.821
angles (deg): 90.00 90.00 90.00
Space group Pm-3m (No. 221)
Unique sites:
Zr: 0.000 0.000 0.000 [1 per cell]
Ag: 0.500 0.500 0.500 [1 per cell]
W: 0.000 0.000 0.500 [3 per cell]

=====

## LaSm4S5 (PBE)

Data for crystalline LaSm4S5 at its relaxed geometry.

Properties
N(E_F), states/eV/cell: 10.43
E_form (uncorrected), meV per atom: -2046.0
Final energy, eV per atom: -6.49

a b c (Å): 4.034 5.712 20.223
angles (deg): 90.00 90.00 90.00
Space group Immm (No. 71)
Unique sites:
La: 0.000 0.000 0.000 [2 per cell]
Sm: 0.000 0.000 0.201 [4 per cell]
Sm: 0.000 0.000 0.400 [4 per cell]
S: 0.000 0.500 0.000 [2 per cell]
S: 0.000 0.500 0.200 [4 per cell]
S: 0.000 0.500 0.396 [4 per cell]

=====

## CaTaAs2O8 (PBE)

Data for crystalline CaTaAs2O8 at its relaxed geometry.

Properties
N(E_F), states/eV/cell: 5.09
E_form (uncorrected), meV per atom: -1879.0
Final energy, eV per atom: -7.11

a b c (Å): 6.950 6.950 6.290
angles (deg): 90.00 90.00 90.00
Space group I-4m2 (No. 119)
Unique sites:
Ca: 0.000 0.000 0.000 [2 per cell]
Ta: 0.000 0.500 0.750 [2 per cell]
As: 0.000 0.000 0.500 [2 per cell]
As: 0.000 0.500 0.250 [2 per cell]
O: 0.000 0.211 0.681 [8 per cell]
O: 0.000 0.325 0.057 [8 per cell]

=====

## TmPa2Se3 (PBE)

Data for crystalline TmPa2Se3 at its relaxed geometry.

Properties
N(E_F), states/eV/cell: 34.60
E_form (uncorrected), meV per atom: -1349.9
Final energy, eV per atom: -7.00

a b c (Å): 8.033 5.724 12.254
angles (deg): 90.00 90.00 90.00
Space group Pnma (No. 62)
Unique sites:
Tm: 0.130 0.250 0.087 [4 per cell]
Pa: 0.120 0.250 0.418 [4 per cell]
Pa: 0.123 0.250 0.747 [4 per cell]
Se: 0.118 0.750 0.079 [4 per cell]
Se: 0.126 0.750 0.753 [4 per cell]
Se: 0.135 0.750 0.418 [4 per cell]

=====

## CS (PBE)

Data for crystalline CS at its relaxed geometry.

Properties
E_form (uncorrected), meV per atom: 1250.9
Final energy, eV per atom: -5.42
Polymorph energy (0 for the lowest one), meV per atom: 27

a b c (Å): 4.693 6.479 9.740
angles (deg): 90.00 90.00 90.00
Space group P2_12_12_1 (No. 19)
Unique sites:
C: 0.111 0.001 0.152 [4 per cell]
C: 0.112 0.364 0.969 [4 per cell]
S: 0.238 0.483 0.343 [4 per cell]
S: 0.243 0.107 0.006 [4 per cell]

=====

## Li2PaSnS4 (PBE)

Data for crystalline Li2PaSnS4 at its relaxed geometry.

Properties
N(E_F), states/eV/cell: 3.91
E_form (uncorrected), meV per atom: -1181.3
Final energy, eV per atom: -5.41

a b c (Å): 6.599 3.909 7.190
angles (deg): 90.00 111.62 90.00
Space group P2/m (No. 10)
Unique sites:
Li: 0.000 0.000 0.000 [1 per cell]
Li: 0.000 0.500 0.500 [1 per cell]
Pa: 0.500 0.000 0.500 [1 per cell]
Sn: 0.500 0.500 0.000 [1 per cell]
S: 0.245 0.500 0.250 [2 per cell]
S: 0.249 0.000 0.720 [2 per cell]

=====

## Li2Ce2TmTl5 (PBE)

Data for crystalline Li2Ce2TmTl5 at its relaxed geometry.

Properties
N(E_F), states/eV/cell: 35.16
Energy of formation, eV/f.u.: -2.1
Final energy, eV per atom: -3.41

a b c (Å): 11.612 11.612 3.764
angles (deg): 90.00 90.00 90.00
Space group P4/mbm (No. 127)
Unique sites:
Li: 0.123 0.377 0.000 [4 per cell]
Ce: 0.175 0.675 0.000 [4 per cell]
Tm: 0.000 0.000 0.000 [2 per cell]
Tl: 0.000 0.500 0.500 [2 per cell]
Tl: 0.066 0.211 0.500 [8 per cell]

=====

## Li2LaY2Sb2 (PBE)

Data for crystalline Li2LaY2Sb2 at its relaxed geometry.

Properties
N(E_F), states/eV/cell: 16.10
E_form (uncorrected), meV per atom: -619.6
Final energy, eV per atom: -4.89

a b c (Å): 4.7777 4.7777 27.4077
angles (deg): 90.00 90.00 120.00
Space group R-3m (No. 166, hexagonal axes)
Unique sites:
Li: 0.0000 0.0000 0.0868 [6 per cell]
La: 0.0000 0.0000 0.5000 [3 per cell]
Y: 0.0000 0.0000 0.3684 [6 per cell]
Sb: 0.0000 0.0000 0.2404 [6 per cell]

=====

## TaNb2Co6 (PBE)

Data for crystalline TaNb2Co6 at its relaxed geometry.

Properties
N(E_F), states/eV/cell: 11.58
Energy of formation, eV/f.u.: -0.1
Final energy, eV per atom: -8.31

a b c (Å): 5.0893 5.0893 5.3294
angles (deg): 90.00 90.00 120.00
Space group P-3m1 (No. 164)
Unique sites:
Ta: 0.0000 0.0000 0.0000 [1 per cell]
Nb: 0.3333 0.6667 0.8454 [2 per cell]
Co: 0.1813 0.3626 0.3348 [6 per cell]

=====

## K3ZnSe (PBE)

Data for crystalline K3ZnSe at its relaxed geometry.

Properties
N(E_F), states/eV/cell: 5.31
E_form (uncorrected), meV per atom: -427.1
Final energy, eV per atom: -2.04
Polymorph energy (0 for the lowest one), meV per atom: 0

a b c (Å): 6.326 6.326 6.326
angles (deg): 90.00 90.00 90.00
Space group Pm-3m (No. 221)
Unique sites:
K: 0.000 0.000 0.500 [3 per cell]
Zn: 0.500 0.500 0.500 [1 per cell]
Se: 0.000 0.000 0.000 [1 per cell]

=====

## Sm3MgRu (PBE)

Data for crystalline Sm3MgRu at its relaxed geometry.

Properties
N(E_F), states/eV/cell: 3.56
Energy of formation, eV/f.u.: -0.2
Final energy, eV per atom: -5.05
Polymorph energy (0 for the lowest one), meV per atom: 133

a b c (Å): 5.441 5.441 5.441
angles (deg): 90.00 90.00 90.00
Space group Pm-3m (No. 221)
Unique sites:
Sm: 0.000 0.000 0.500 [3 per cell]
Mg: 0.500 0.500 0.500 [1 per cell]
Ru: 0.000 0.000 0.000 [1 per cell]

=====

## Ni2AgSbP (PBE)

Data for crystalline Ni2AgSbP at its relaxed geometry.

Properties
N(E_F), states/eV/cell: 5.27
E_form (uncorrected), meV per atom: 315.5
Final energy, eV per atom: -4.47

a b c (Å): 4.212 4.212 5.338
angles (deg): 90.00 90.00 90.00
Space group P4/mmm (No. 123)
Unique sites:
Ni: 0.000 0.500 0.000 [2 per cell]
Ag: 0.000 0.000 0.500 [1 per cell]
Sb: 0.500 0.500 0.500 [1 per cell]
P: 0.500 0.500 0.000 [1 per cell]